[1]
Entry from Alexandria: a geometry-optimized SbCI2F structure (PBE).

E_form (uncorrected) ... 1.17 eV per atom
Relative energy among the computed polymorphs ... 391 meV/atom

Cell and atoms, written as POSCAR:
```
SbCI2F
1.0
5.910 0.000 0.000
0.000 5.910 0.000
0.000 0.000 4.194
Sb C I F
1 1 2 1
direct
0.000 0.000 0.000
0.500 0.500 0.000
0.000 0.500 0.500
0.500 0.000 0.500
0.000 0.000 0.500
```

[2]
Entry from Alexandria: a geometry-optimized FeOsRu2 structure (PBE).

ΔH_f (0 K) ... 0.135 eV/atom

Cell and atoms, written as POSCAR:
```
FeOsRu2
1.0
2.683 0.000 0.000
0.000 3.774 0.000
0.000 0.000 5.312
Fe Os Ru
1 1 2
direct
0.000 0.000 0.000
0.500 0.500 0.242
0.000 0.000 0.497
0.500 0.500 0.759
```

[3]
Entry from Alexandria: a geometry-optimized SrLa3Hg structure (PBE).

Relative energy among the computed polymorphs ... 0 meV/atom
ΔH_f (0 K) ... 0.119 eV/atom

Cell and atoms, written as POSCAR:
```
SrLa3Hg
1.0
6.088 0.000 0.000
0.000 6.088 0.000
0.000 0.000 6.088
Sr La Hg
1 3 1
direct
0.000 0.000 0.000
0.000 0.500 0.500
0.500 0.000 0.500
0.500 0.500 0.000
0.500 0.500 0.500
```

[4]
Entry from Alexandria: a geometry-optimized Pr2AlZn12Cu3 structure (PBE).

ΔH_f (0 K) ... 0.228 eV/atom

Cell and atoms, written as POSCAR:
```
Pr2AlZn12Cu3
1.0
4.189 2.418 6.261
-4.189 2.418 6.261
0.000 -4.837 6.261
Pr Al Zn Cu
2 1 12 3
direct
0.097 0.097 0.097
0.903 0.903 0.903
0.500 0.500 0.500
0.136 0.632 0.632
0.158 0.158 0.507
0.158 0.507 0.158
0.368 0.368 0.864
0.368 0.864 0.368
0.493 0.842 0.842
0.507 0.158 0.158
0.632 0.136 0.632
0.632 0.632 0.136
0.842 0.493 0.842
0.842 0.842 0.493
0.864 0.368 0.368
0.000 0.500 0.500
0.500 0.000 0.500
0.500 0.500 0.000
```

[5]
Entry from Alexandria: a geometry-optimized LaCeIn2 structure (PBE).

ΔH_f (0 K) ... -0.211 eV/atom

Cell and atoms, written as POSCAR:
```
LaCeIn2
1.0
1.879 1.085 10.288
-1.879 1.085 10.288
0.000 -2.170 10.288
La Ce In
1 1 2
direct
0.000 0.000 0.000
0.500 0.500 0.500
0.248 0.248 0.248
0.752 0.752 0.752
```

[6]
Entry from Alexandria: a geometry-optimized CuTeIN2 structure (PBE).

E_form (uncorrected) ... 1.63 eV per atom
Relative energy among the computed polymorphs ... 280 meV/atom

Cell and atoms, written as POSCAR:
```
CuTeIN2
1.0
4.207 0.000 0.000
0.000 4.207 0.000
0.000 0.000 5.703
Cu Te I N
1 1 1 2
direct
0.000 0.000 0.000
0.000 0.000 0.500
0.500 0.500 0.500
0.000 0.500 0.000
0.500 0.000 0.000
```

[7]
Entry from Alexandria: a geometry-optimized Ba2IrPt structure (PBE).

ΔH_f (0 K) ... 0.104 eV/atom

Cell and atoms, written as POSCAR:
```
Ba2IrPt
1.0
-4.205 4.205 3.245
4.205 -4.205 3.245
4.205 4.205 -3.245
Ba Ir Pt
4 2 2
direct
0.112 0.625 0.987
0.375 0.362 0.487
0.638 0.125 0.013
0.875 0.888 0.513
0.000 0.000 0.000
0.750 0.250 0.500
0.250 0.750 0.500
0.500 0.500 0.000
```

[8]
Entry from Alexandria: a geometry-optimized Ti2TlHRh structure (PBE).

Cell and atoms, written as POSCAR:
```
Ti2TlHRh
1.0
4.168 0.000 0.000
0.000 4.168 0.000
0.000 0.000 4.040
Ti Tl H Rh
2 1 1 1
direct
0.000 0.500 0.000
0.500 0.000 0.000
0.000 0.000 0.500
0.500 0.500 0.000
0.500 0.500 0.500
```

Number 1: DFT total energy -12.49 eV/cell. Number 2: DFT total energy -37.70 eV/cell. Number 3: DFT total energy -16.17 eV/cell. Number 4: DFT total energy -36.77 eV/cell. Number 5: DFT total energy -17.18 eV/cell. Number 6: DFT total energy -17.29 eV/cell. Number 7: DFT total energy -36.67 eV/cell. Number 8: DFT total energy -30.14 eV/cell.